This record from the Alexandria database describes a geometry-optimized Sc2CrRh structure. The functional is PBE.

Lattice parameters (Å, degrees): 9.245 9.245 9.245 19.46 19.46 19.46
Each line ends with the local moment (μB).
Fractional positions:
Cr 0.493 0.493 0.493  3.19
Rh 0.751 0.751 0.751  0.09
Sc 0.014 0.014 0.014  0.00
Sc 0.242 0.242 0.242  -0.28

Calculated values
* total energy: -29.13 eV/cell
* formation energy: 127 meV/atom

---

This record from the Alexandria database describes a geometry-optimized Pm3NdAg3 structure. The functional is PBE.

Lattice parameters (Å, degrees): 7.507 7.507 7.125 90.48 90.48 94.12
Fractional positions:
Pm 0.631 0.631 0.358
Pm 0.181 0.819 0.500
Pm 0.819 0.181 0.500
Pm 0.264 0.736 0.000
Pm 0.736 0.264 0.000
Pm 0.369 0.369 0.642
Nd 0.743 0.743 0.854
Nd 0.257 0.257 0.146
Ag 0.930 0.930 0.184
Ag 0.004 0.479 0.732
Ag 0.479 0.004 0.732
Ag 0.996 0.521 0.268
Ag 0.521 0.996 0.268
Ag 0.070 0.070 0.816

Calculated values
* total energy: -56.78 eV/cell
* formation energy: -117 meV/atom

---

This record from the Alexandria database describes a geometry-optimized Mn2NbCoN structure. The functional is PBE.

Lattice parameters (Å, degrees): 3.823 3.813 3.823 90.00 90.00 90.00
Each line ends with the local moment (μB).
Fractional positions:
Nb 0.500 0.500 0.500  -0.43
Mn 0.000 0.000 0.500  0.95
Mn 0.500 0.000 0.000  0.66
Co 0.000 0.500 0.000  0.27
N 0.000 0.000 0.000  -0.04

Calculated values
* uncorrected formation energy: -0.83 eV/f.u.
* total energy: -44.67 eV/cell

---

This record from the Alexandria database describes a geometry-optimized PrMgNi structure. The functional is PBE.

Lattice parameters (Å, degrees): 3.355 3.355 6.312 105.41 105.41 90.00
Fractional positions:
Pr 0.308 0.308 0.616
Ni 0.656 0.656 0.312
Mg 0.036 0.036 0.072

Calculated values
* total energy: -12.48 eV/cell
* formation energy: -109 meV/atom

---

This record from the Alexandria database describes a geometry-optimized Sc2RePdC structure. The functional is PBE.

Lattice parameters (Å, degrees): 4.540 4.540 3.930 90.00 90.00 90.00
Fractional positions:
Sc 0.000 0.500 0.000
Sc 0.500 0.000 0.000
Re 0.000 0.000 0.500
C 0.000 0.000 0.000
Pd 0.500 0.500 0.500

Calculated values
* total energy: -41.66 eV/cell
* formation energy: -427 meV/atom

---

This record from the Alexandria database describes a geometry-optimized Ca2Tl4In structure. The functional is PBE.

Lattice parameters (Å, degrees): 5.921 5.921 7.782 112.36 112.36 90.00
Fractional positions:
Ca 0.643 0.643 0.286
Ca 0.357 0.357 0.714
Tl 0.750 0.250 0.500
Tl 0.250 0.750 0.500
Tl 0.500 0.000 0.000
Tl 0.000 0.500 0.000
In 0.000 0.000 0.000

Calculated values
* total energy: -16.51 eV/cell
* formation energy: -44 meV/atom

---

This record from the Alexandria database describes a geometry-optimized TaCdPt structure. The functional is PBE.

Lattice parameters (Å, degrees): 4.472 4.472 4.472 60.00 60.00 60.00
Fractional positions:
Cd 0.000 0.000 0.000
Pt 0.500 0.500 0.500
Ta 0.750 0.750 0.750

Calculated values
* total energy: -17.74 eV/cell
* formation energy: 357 meV/atom

---

This record from the Alexandria database describes a geometry-optimized Nd8NiC3Br4 structure. The functional is PBE.

Lattice parameters (Å, degrees): 7.786 8.699 7.792 116.64 119.97 90.00
Fractional positions:
Nd 0.238 0.689 0.951
Nd 0.238 0.689 0.477
Nd 0.272 0.316 0.544
Nd 0.713 0.689 0.951
Nd 0.287 0.311 0.049
Nd 0.728 0.684 0.456
Nd 0.762 0.311 0.523
Nd 0.762 0.311 0.049
Ni 0.000 0.500 0.000
C 0.500 0.500 0.000
C 0.500 0.500 0.500
C 0.000 0.500 0.500
Br 0.500 0.000 0.000
Br 0.500 0.000 0.500
Br 0.000 0.000 0.000
Br 0.000 0.000 0.500

Calculated values
* uncorrected formation energy: -12.86 eV/f.u.
* total energy: -91.14 eV/cell

---

This record from the Alexandria database describes a geometry-optimized CrHg2Br structure. The functional is PBE.

Lattice parameters (Å, degrees): 5.377 5.377 5.377 124.80 124.80 81.87
Each line ends with the local moment (μB).
Fractional positions:
Br 0.500 0.500 0.000  0.01
Cr 0.750 0.250 0.500  4.20
Hg 0.000 0.000 0.000  0.04
Hg 0.250 0.750 0.500  0.03

Calculated values
* uncorrected formation energy: 1.13 eV/f.u.
* total energy: -10.77 eV/cell

---

This record from the Alexandria database describes a geometry-optimized Nd2Zn3CdGa4 structure. The functional is PBE.

Lattice parameters (Å, degrees): 4.303 4.303 10.817 90.00 90.00 90.00
Fractional positions:
Nd 0.500 0.000 0.242
Nd 0.000 0.500 0.758
Zn 0.000 0.000 0.500
Zn 0.500 0.000 0.870
Zn 0.000 0.500 0.130
Cd 0.500 0.500 0.500
Ga 0.500 0.500 0.000
Ga 0.000 0.000 0.000
Ga 0.500 0.000 0.645
Ga 0.000 0.500 0.355

Calculated values
* total energy: -30.87 eV/cell
* formation energy: -449 meV/atom

---

This record from the Alexandria database describes a geometry-optimized Li2Pr3Hg4 structure. The functional is PBE.

Lattice parameters (Å, degrees): 4.992 6.124 8.520 77.42 72.96 65.94
Fractional positions:
Li 0.373 0.958 0.296
Li 0.627 0.042 0.704
Pr 0.341 0.645 0.674
Pr 0.000 0.000 0.000
Pr 0.659 0.355 0.326
Hg 0.289 0.360 0.062
Hg 0.711 0.640 0.938
Hg 0.074 0.245 0.606
Hg 0.926 0.755 0.394

Calculated values
* total energy: -22.91 eV/cell
* formation energy: -393 meV/atom

---

This record from the Alexandria database describes a geometry-optimized BeIn2Cu structure. The functional is PBE.

Lattice parameters (Å, degrees): 8.326 8.326 8.326 22.19 22.19 22.19
Fractional positions:
Be 0.250 0.250 0.250
Cu 0.750 0.750 0.750
In 0.998 0.998 0.998
In 0.502 0.502 0.502

Calculated values
* total energy: -11.93 eV/cell
* formation energy: 343 meV/atom

---

This record from the Alexandria database describes a geometry-optimized HfV2Ge2 structure. The functional is PBE.

Lattice parameters (Å, degrees): 6.893 6.893 3.309 90.00 90.00 90.00
Fractional positions:
Ge 0.368 0.868 0.000
Ge 0.868 0.632 0.000
Ge 0.632 0.132 0.000
Ge 0.132 0.368 0.000
Hf 0.000 0.000 0.000
Hf 0.500 0.500 0.000
V 0.165 0.665 0.500
V 0.665 0.835 0.500
V 0.835 0.335 0.500
V 0.335 0.165 0.500

Calculated values
* total energy: -78.40 eV/cell
* formation energy: -355 meV/atom

---

This record from the Alexandria database describes a geometry-optimized Ho4Th structure. The functional is PBE.

Lattice parameters (Å, degrees): 5.957 6.308 9.420 90.00 90.00 114.28
Fractional positions:
Ho 0.980 0.259 0.428
Ho 0.569 0.683 0.809
Ho 0.431 0.317 0.191
Ho 0.020 0.741 0.572
Ho 0.931 0.317 0.809
Ho 0.480 0.259 0.572
Ho 0.520 0.741 0.428
Ho 0.069 0.683 0.191
Th 0.250 0.000 0.897
Th 0.750 0.000 0.103

Calculated values
* total energy: -49.43 eV/cell
* formation energy: 204 meV/atom

---

This record from the Alexandria database describes a geometry-optimized Pr3Dy2Ho8 structure. The functional is PBE.

Lattice parameters (Å, degrees): 5.641 7.725 10.765 111.03 90.05 90.00
Fractional positions:
Pr 0.500 0.000 0.000
Pr 0.000 0.293 0.000
Pr 0.000 0.707 0.000
Dy 0.498 0.241 0.482
Dy 0.501 0.759 0.518
Ho 0.001 0.672 0.345
Ho 0.999 0.328 0.655
Ho 0.999 0.136 0.272
Ho 0.001 0.864 0.728
Ho 0.500 0.599 0.780
Ho 0.500 0.182 0.780
Ho 0.500 0.818 0.220
Ho 0.500 0.401 0.220

Calculated values
* total energy: -56.90 eV/cell
* formation energy: 251 meV/atom

---

This record from the Alexandria database describes a geometry-optimized Ac3Nd2ErSe6 structure. The functional is PBE.

Lattice parameters (Å, degrees): 7.410 7.410 7.596 99.36 99.36 120.16
Fractional positions:
Ac 0.172 0.828 0.500
Ac 0.828 0.172 0.500
Ac 0.500 0.500 0.500
Nd 0.333 0.667 0.000
Nd 0.667 0.333 0.000
Er 0.000 0.000 0.000
Se 0.925 0.603 0.774
Se 0.756 0.756 0.232
Se 0.075 0.397 0.226
Se 0.603 0.925 0.774
Se 0.244 0.244 0.768
Se 0.397 0.075 0.226

Calculated values
* uncorrected formation energy: -21.87 eV/f.u.
* total energy: -69.20 eV/cell

---

This record from the Alexandria database describes a geometry-optimized La2Tb2PmTm structure. The functional is PBE.

Lattice parameters (Å, degrees): 5.727 7.080 9.974 90.00 90.00 90.00
Fractional positions:
La 0.500 0.008 0.001
La 0.000 0.258 0.171
La 0.500 0.508 0.999
La 0.000 0.758 0.829
Tb 0.000 0.257 0.833
Tb 0.500 0.258 0.334
Tb 0.000 0.757 0.167
Tb 0.500 0.758 0.666
Pm 0.000 0.007 0.500
Pm 0.000 0.507 0.500
Tm 0.500 0.257 0.662
Tm 0.500 0.757 0.338

Calculated values
* total energy: -55.86 eV/cell
* formation energy: 68 meV/atom

---

This record from the Alexandria database describes a geometry-optimized ScHI3 structure. The functional is PBE.

Lattice parameters (Å, degrees): 5.757 5.757 5.757 90.00 90.00 90.00
Each line ends with the local moment (μB).
Fractional positions:
I 0.000 0.500 0.000  0.01
I 0.000 0.000 0.500  0.01
I 0.500 0.000 0.000  0.00
Sc 0.000 0.000 0.000  0.01
H 0.500 0.500 0.500  0.38

Calculated values
* total energy: -16.31 eV/cell

---

This record from the Alexandria database describes a geometry-optimized V7Cr3Tc2 structure. The functional is PBE.

Lattice parameters (Å, degrees): 3.978 4.259 10.430 101.78 90.00 90.00
Fractional positions:
V 0.000 0.428 0.855
V 0.000 0.713 0.426
V 0.000 0.000 0.000
V 0.000 0.572 0.145
V 0.500 0.074 0.148
V 0.500 0.926 0.852
V 0.000 0.287 0.574
Cr 0.500 0.500 0.000
Cr 0.500 0.645 0.290
Cr 0.500 0.355 0.710
Tc 0.000 0.851 0.702
Tc 0.000 0.149 0.298

Calculated values
* total energy: -110.24 eV/cell
* formation energy: 266 meV/atom

---

This record from the Alexandria database describes a geometry-optimized K2Ce2USe6 structure. The functional is PBE.

Lattice parameters (Å, degrees): 7.405 7.405 8.192 98.78 98.78 119.69
Each line ends with the local moment (μB).
Fractional positions:
K 0.831 0.169 0.000  0.00
K 0.169 0.831 0.000  0.00
Ce 0.334 0.666 0.500  0.85
Ce 0.666 0.334 0.500  0.85
U 0.000 0.000 0.500  2.28
Se 0.746 0.746 0.702  -0.04
Se 0.066 0.392 0.701  -0.04
Se 0.254 0.254 0.298  -0.04
Se 0.392 0.066 0.701  -0.04
Se 0.934 0.608 0.299  -0.04
Se 0.608 0.934 0.299  -0.04

Calculated values
* uncorrected formation energy: -17.04 eV/f.u.
* total energy: -63.30 eV/cell

---

This record from the Alexandria database describes a geometry-optimized TbNdHo5Er2 structure. The functional is PBE.

Lattice parameters (Å, degrees): 5.583 10.262 10.514 90.00 90.00 105.78
Fractional positions:
Tb 0.800 0.600 0.512
Tb 0.200 0.400 0.012
Nd 0.584 0.168 0.951
Nd 0.416 0.832 0.451
Ho 0.389 0.777 0.023
Ho 0.719 0.438 0.812
Ho 0.478 0.956 0.737
Ho 0.299 0.597 0.709
Ho 0.982 0.965 0.525
Ho 0.611 0.223 0.523
Ho 0.281 0.562 0.312
Ho 0.522 0.044 0.237
Ho 0.701 0.403 0.209
Ho 0.018 0.035 0.025
Er 0.886 0.773 0.819
Er 0.111 0.221 0.735
Er 0.114 0.227 0.319
Er 0.889 0.779 0.235

Calculated values
* total energy: -79.90 eV/cell
* formation energy: 162 meV/atom

---

This record from the Alexandria database describes a geometry-optimized LaAs2W structure. The functional is PBE.

Lattice parameters (Å, degrees): 4.877 4.877 4.877 60.00 60.00 60.00
Each line ends with the local moment (μB).
Fractional positions:
As 0.000 0.000 0.000  0.00
As 0.250 0.250 0.250  -0.01
W 0.750 0.750 0.750  0.08
La 0.500 0.500 0.500  0.01

Calculated values
* total energy: -25.37 eV/cell
* formation energy: 453 meV/atom

---

This record from the Alexandria database describes a geometry-optimized La2IrClF structure. The functional is PBE.

Lattice parameters (Å, degrees): 5.393 4.423 5.393 90.00 90.00 90.00
Fractional positions:
Cl 0.000 0.000 0.000
F 0.500 0.500 0.500
Ir 0.000 0.500 0.000
La 0.000 0.000 0.500
La 0.500 0.000 0.000

Calculated values
* uncorrected formation energy: -3.32 eV/f.u.
* total energy: -25.76 eV/cell

---

This record from the Alexandria database describes a geometry-optimized Rb2TlGa structure. The functional is PBE.

Lattice parameters (Å, degrees): 6.188 6.188 6.188 60.00 60.00 60.00
Fractional positions:
Tl 0.500 0.500 0.500
Ga 0.000 0.000 0.000
Rb 0.250 0.250 0.250
Rb 0.750 0.750 0.750

Calculated values
* total energy: -6.53 eV/cell
* formation energy: 199 meV/atom